A) The following is a DFT calculation (GGA-PBE) of a geometry-optimized ReNi2Rh2 structure.

The value obtained for the volume is 13.1 Å³ per atom. The calculation puts the total magnetic moment at 0.00 μB per atom. For the density of states at the Fermi level, the calculation gives 12.839 states/eV per cell.

The space group is C2/m (No. 12) and the conventional cell measures 8.283, 3.712 and 5.906 Å, with angles of 90.00, 134.04 and 90.00 degrees. The asymmetric unit holds Re at (0.000, 0.000, 0.000), Ni at (0.206, 0.000, 0.816) and Rh at (0.096, 0.500, 0.393).



B) The following is a DFT calculation (GGA-PBE) of a geometry-optimized ReNi2Rh2 structure.

The value obtained for the volume is 13.2 Å³ per atom. The calculation puts the total magnetic moment at 0.00 μB per atom. For the density of states at the Fermi level, the calculation gives 10.416 states/eV per cell.

The space group is P4/mbm (No. 127) and the conventional cell measures 6.900, 6.900 and 2.764 Å, with angles of 90.00, 90.00 and 90.00 degrees. The asymmetric unit holds Re at (0.000, 0.000, 0.000), Ni at (0.126, 0.374, 0.000) and Rh at (0.172, 0.672, 0.500).



In order of decreasing stability: A), B).



A) The following is a DFT calculation (GGA-PBE) of a geometry-optimized ReNi2Ru structure.

The value obtained for the volume is 12.7 Å³ per atom. The calculation puts the total magnetic moment at 0.00 μB per atom. For the density of states at the Fermi level, the calculation gives 4.983 states/eV per cell.

The space group is Pmmm (No. 47) and the conventional cell measures 2.614, 3.756 and 5.181 Å, with angles of 90.00, 90.00 and 90.00 degrees. The asymmetric unit holds Re at (0.000, 0.000, 0.000), Ni at (0.500, 0.500, 0.244) and Ru at (0.000, 0.000, 0.500).



B) The following is a DFT calculation (GGA-PBE) of a geometry-optimized ReNi2Ru structure.

The value obtained for the volume is 12.9 Å³ per atom. The calculation puts the total magnetic moment at 0.00 μB per atom. For the density of states at the Fermi level, the calculation gives 5.690 states/eV per cell.

The space group is P2/m (No. 10) and the conventional cell measures 4.505, 2.662 and 4.556 Å, with angles of 90.00, 109.61 and 90.00 degrees. The asymmetric unit holds Re at (0.000, 0.000, 0.000), Ni at (0.500, 0.000, 0.500), Ni at (0.500, 0.500, 0.000) and Ru at (0.000, 0.500, 0.500).



In order of decreasing stability: A), B).